--- i ---
Density functional theory data (PBE-GGA) for a geometry-optimized KTiSe2Br structure.

Geometry as POSCAR:
```
KTiSe2Br
1.0
5.508 0.000 0.000
0.000 5.508 0.000
0.000 0.000 5.613
K Se Br Ti
1 2 1 1
Direct
0.000 0.000 0.000
0.000 0.500 0.000
0.500 0.000 0.000
0.000 0.000 0.500
0.500 0.500 0.500
```

Its space group is P4/mmm, No. 123. The crystal system is tetragonal.

--- ii ---
Density functional theory data (PBE-GGA) for a geometry-optimized KTiSe2Br structure.

Geometry as POSCAR:
```
KTiSe2Br
1.0
-2.754 -1.880 -3.691
-2.683 -2.568 3.310
-3.470 4.203 0.448
K Se Br Ti
1 2 1 1
Direct
0.500 0.500 0.500
0.000 0.500 0.000
0.500 0.000 0.000
0.000 0.000 0.500
0.000 0.000 0.000
```

Its space group is P4/mmm, No. 123. The crystal system is tetragonal.

If you had to name the least stable structure above, which would it be? It would be i.